No. 1
Sm5Mg4Pb (PBE, relaxed); ΔE_f = -0.181 eV/atom; symmetry = P4/mmm
1.0
3.8668 0.0000 0.0000
0.0000 3.8668 0.0000
0.0000 0.0000 19.2233
Sm Mg Pb
5 4 1
direct
0.0000 0.0000 0.0000
0.0000 0.0000 0.2000
0.0000 0.0000 0.3974
0.0000 0.0000 0.6026
0.0000 0.0000 0.8000
0.5000 0.5000 0.1003
0.5000 0.5000 0.2963
0.5000 0.5000 0.7037
0.5000 0.5000 0.8997
0.5000 0.5000 0.5000

---

No. 2
Sr2ZnRh (PBE, relaxed); ΔE_f = 0.069 eV/atom; symmetry = F-43m
1.0
0.0000 3.6379 3.6379
3.6379 0.0000 3.6379
3.6379 3.6379 0.0000
Sr Zn Rh
2 1 1
direct
0.0000 0.0000 0.0000
0.2500 0.2500 0.2500
0.7500 0.7500 0.7500
0.5000 0.5000 0.5000

---

No. 3
Be2TlI (PBE, relaxed); ΔE to the lowest computed polymorph = 0.0 kJ per mole of atoms; uncorrected formation energy = 2.691 eV/f.u.; symmetry = I-42d
1.0
-3.0397 3.0397 5.2128
3.0397 -3.0397 5.2128
3.0397 3.0397 -5.2128
Be Tl I
4 2 2
direct
0.1174 0.6250 0.9924
0.3750 0.3674 0.4924
0.6326 0.1250 0.0076
0.8750 0.8826 0.5076
0.0000 0.0000 0.0000
0.7500 0.2500 0.5000
0.2500 0.7500 0.5000
0.5000 0.5000 0.0000

---

No. 4
Tb2Al3Ir (PBE, relaxed); ΔE_f = -0.703 eV/atom; symmetry = R-3m
1.0
2.7464 1.5856 4.4200
-2.7464 1.5856 4.4200
0.0000 -3.1712 4.4200
Tb Al Ir
2 3 1
direct
0.1265 0.1265 0.1265
0.8735 0.8735 0.8735
0.0000 0.5000 0.5000
0.5000 0.0000 0.5000
0.5000 0.5000 0.0000
0.5000 0.5000 0.5000

---

Number 1: final energy -3.5494 eV/atom, calculated volume 287 Å³ per cell. Number 2: final energy -2.9284 eV/atom, calculated volume 96 Å³ per cell. Number 3: final energy -2.1695 eV/atom, calculated volume 193 Å³ per cell. Number 4: final energy -5.5947 eV/atom, calculated volume 115 Å³ per cell.